(1)
Material: CaAc2BeO5
Method: DFT, PBE
State: optimized geometry

The structure belongs to space group P4/mbm (No. 127); the cell edges are 6.928, 6.928 and 5.683 Å and the angles 90.00°, 90.00° and 90.00°. The inequivalent atoms are Ca at (0.000, 0.000, 0.000), Ac at (0.175, 0.325, 0.500), Be at (0.000, 0.500, 0.000), O at (0.000, 0.000, 0.500) and O at (0.130, 0.630, 0.217).

Its crystal system is tetragonal. As for the formation energy (no corrections): -2.71 eV/atom. The calculation puts the total magnetic moment at 0.000 μB/cell. The total energy comes out at -7.0139 eV per atom.



(2)
Material: CaAc2Be2O6
Method: DFT, PBE
State: optimized geometry

The structure belongs to space group P-3 (No. 147); the cell edges are 5.7472, 5.7472 and 5.8653 Å and the angles 90.00°, 90.00° and 120.00°. The inequivalent atoms are Ca at (0.0000, 0.0000, 0.0000), Ac at (0.3333, 0.6667, 0.3010), Be at (0.3333, 0.6667, 0.7856) and O at (0.0988, 0.3776, 0.7672).

Its crystal system is trigonal. As for the formation energy (no corrections): -2.80 eV/atom. The calculation puts the total magnetic moment at 0.000 μB/cell. The total energy comes out at -7.1123 eV per atom.



(3)
Material: Ca2AcBeO5
Method: DFT, PBE
State: optimized geometry

The structure belongs to space group I4/mcm (No. 140); the cell edges are 6.482, 6.482 and 10.686 Å and the angles 90.00°, 90.00° and 90.00°. The inequivalent atoms are Ca at (0.173, 0.327, 0.000), Ac at (0.000, 0.000, 0.250), Be at (0.000, 0.500, 0.250), O at (0.000, 0.000, 0.000) and O at (0.139, 0.361, 0.349).

Its crystal system is tetragonal. As for the formation energy (no corrections): -2.81 eV/atom. The calculation puts the total magnetic moment at 4.086 μB/cell. The total energy comes out at -6.8815 eV per atom.



(4)
Material: Ca2AcBe2O6
Method: DFT, PBE
State: optimized geometry

The structure belongs to space group P-3 (No. 147); the cell edges are 5.5994, 5.5994 and 6.1447 Å and the angles 90.00°, 90.00° and 120.00°. The inequivalent atoms are Ca at (0.3333, 0.6667, 0.3876), Ac at (0.0000, 0.0000, 0.0000), Be at (0.3333, 0.6667, 0.8030) and O at (0.0612, 0.3958, 0.7604).

Its crystal system is trigonal. As for the formation energy (no corrections): -2.60 eV/atom. The calculation puts the total magnetic moment at 1.048 μB/cell. The total energy comes out at -6.7179 eV per atom.



(5)
Material: Ac2BeCd
Method: DFT, PBE
State: optimized geometry

The structure belongs to space group R-3m (No. 166, hexagonal axes); the cell edges are 3.7821, 3.7821 and 35.0335 Å and the angles 90.00°, 90.00° and 120.00°. The inequivalent atoms are Ac at (0.0000, 0.0000, 0.0898), Be at (0.0000, 0.0000, 0.0000) and Cd at (0.0000, 0.0000, 0.5000).

Its crystal system is trigonal. The value obtained for the energy above the most stable polymorph in this dataset is 2.79 eV/f.u. The calculation puts the total magnetic moment at 0.001 μB/cell. The total energy comes out at -2.4947 eV per atom.



(6)
Material: Ac2BeCd
Method: DFT, PBE
State: optimized geometry

The structure belongs to space group P4/mmm (No. 123); the cell edges are 3.869, 3.869 and 8.018 Å and the angles 90.00°, 90.00° and 90.00°. The inequivalent atoms are Ac at (0.000, 0.000, 0.221), Be at (0.500, 0.500, 0.000) and Cd at (0.500, 0.500, 0.500).

Its crystal system is tetragonal. The value obtained for the energy above the most stable polymorph in this dataset is 0.00 eV/f.u. The calculation puts the total magnetic moment at 0.000 μB/cell. The total energy comes out at -3.1915 eV per atom.



(7)
Material: AcBeCdH6
Method: DFT, PBE
State: optimized geometry

The structure belongs to space group P1 (No. 1); the cell edges are 4.340, 4.343 and 5.723 Å and the angles 99.32°, 99.15° and 91.22°. The inequivalent atoms are Ac at (0.000, 0.000, 0.000), Be at (0.306, 0.307, 0.646), Cd at (0.552, 0.553, 0.289), H at (0.012, 0.548, 0.218), H at (0.089, 0.457, 0.791), H at (0.107, 0.107, 0.448), H at (0.457, 0.092, 0.792), H at (0.539, 0.542, 0.624) and H at (0.547, 0.015, 0.219).

Its crystal system is triclinic. The calculation puts the total magnetic moment at 0.000 μB/cell. The total energy comes out at -3.3707 eV per atom.



(8)
Material: Ac2Be2CdO6
Method: DFT, PBE
State: optimized geometry

The structure belongs to space group C2/m (No. 12); the cell edges are 9.662, 5.452 and 6.394 Å and the angles 90.00°, 118.30° and 90.00°. The inequivalent atoms are Ac at (0.213, 0.000, 0.199), Be at (0.043, 0.500, 0.234), Cd at (0.000, 0.000, 0.500), O at (0.056, 0.261, 0.816) and O at (0.223, 0.500, 0.364).

Its crystal system is monoclinic. As for the formation energy (no corrections): -2.63 eV/atom. The calculation puts the total magnetic moment at 0.000 μB/cell. The total energy comes out at -6.8459 eV per atom.



(9)
Material: Ac3Be2CdPd9
Method: DFT, PBE
State: optimized geometry

The structure belongs to space group P-3m1 (No. 164); the cell edges are 6.9447, 6.9447 and 7.3258 Å and the angles 90.00°, 90.00° and 120.00°. The inequivalent atoms are Ac at (0.0000, 0.0000, 0.0000), Ac at (0.3333, 0.6667, 0.6648), Be at (0.3333, 0.6667, 0.1260), Cd at (0.0000, 0.0000, 0.5000), Pd at (0.0000, 0.5000, 0.0000) and Pd at (0.1902, 0.3803, 0.3136).

Its crystal system is trigonal. The calculation puts the total magnetic moment at 0.000 μB/cell. The total energy comes out at -5.0953 eV per atom.



(10)
Material: Ac2BeCdPt6
Method: DFT, PBE
State: optimized geometry

The structure belongs to space group C2/m (No. 12); the cell edges are 10.335, 5.975 and 7.657 Å and the angles 90.00°, 116.63° and 90.00°. The inequivalent atoms are Ac at (0.232, 0.000, 0.197), Be at (0.000, 0.000, 0.500), Cd at (0.000, 0.500, 0.000), Pt at (0.030, 0.265, 0.323) and Pt at (0.235, 0.000, 0.678).

Its crystal system is monoclinic. The calculation puts the total magnetic moment at 0.000 μB/cell. The total energy comes out at -5.6518 eV per atom.



(11)
Material: Ac2BeCd2Pt4
Method: DFT, PBE
State: optimized geometry

The structure belongs to space group I4/mmm (No. 139); the cell edges are 6.895, 6.895 and 8.140 Å and the angles 90.00°, 90.00° and 90.00°. The inequivalent atoms are Ac at (0.000, 0.500, 0.250), Be at (0.000, 0.000, 0.000), Cd at (0.000, 0.000, 0.323) and Pt at (0.233, 0.233, 0.000).

Its crystal system is tetragonal. The calculation puts the total magnetic moment at 0.000 μB/cell. The total energy comes out at -4.9043 eV per atom.